Entry 1:
The following is a DFT calculation (SCAN) of Sr2LaTc at its PBEsol-relaxed geometry.

Lattice parameters (Å, degrees): 11.747 11.747 11.747 17.21 17.21 17.21
Sites, in units of the cell vectors:
Sr 0.232 0.232 0.232
Sr 0.768 0.768 0.768
La 0.000 0.000 0.000
Tc 0.500 0.500 0.500

Its polymorph energy (0 for the lowest one) is 0.203 eV per formula unit. The calculation puts the formation energy at 3.42 eV/f.u. The raw total energy comes out at -119.296 eV for the cell shown.

Entry 2:
The following is a DFT calculation (SCAN) of BeRuSe2 at its PBEsol-relaxed geometry.

Lattice parameters (Å, degrees): 4.543 4.543 3.213 90.00 90.00 108.54
Sites, in units of the cell vectors:
Be 0.000 0.000 0.000
Ru 0.500 0.500 0.000
Se 0.250 0.750 0.500
Se 0.750 0.250 0.500

The raw total energy comes out at -78.072 eV for the cell shown. Its formation energy (no corrections) is 0.3161 eV/atom.

Entry 3:
The following is a DFT calculation (SCAN) of Cu2ReP at its PBEsol-relaxed geometry.

Lattice parameters (Å, degrees): 4.557 4.557 4.557 135.46 131.58 67.89
Sites, in units of the cell vectors:
Cu 0.000 0.000 0.000
Cu 0.736 0.236 0.500
Re 0.263 0.763 0.500
P 0.506 0.506 0.000

The calculation puts the formation energy at 0.99 eV/f.u. The raw total energy comes out at -110.902 eV for the cell shown.

- What is the raw total energy in the first record?
  -119.296 eV for the cell shown

- Which formula does entry 2 have?
  BeRuSe2

- Among the records above, which one has the highest raw total energy?
  BeRuSe2

- Among the records above, which one has the highest raw total energy?
  BeRuSe2